Entry from Alexandria via LeMat-Bulk: crystalline Pu2TcNi3 at its relaxed geometry (PBE).

Calculated values
The value obtained for the volume is 94.7 Å³ per cell. As for the formation energy from the elements: -0.19 eV per atom. As for the total energy: -57.506 eV per cell. For the magnetic moment, the calculation gives 8.92 μB/f.u.

a = 5.021 Å, b = 5.021 Å, c = 5.219 Å
α = 89.99°, β = 118.78°, γ = 119.98°
Each line ends with the local moment (μB).
Atoms (fractional coordinates):
Ni (0.500, 0.000, 0.500)  -0.18
Pu (0.747, 0.373, 0.120)  4.99
Pu (0.253, 0.627, 0.880)  4.99
Ni (0.000, 0.000, 0.500)  -0.18
Ni (0.500, 0.500, 0.500)  -0.18
Tc (0.000, 0.000, 0.000)  -0.93